Here is crystalline K2VSnF6 at its relaxed geometry from the Alexandria database. Energies are from PBE with a Hubbard U.

POSCAR file:
```
K2VSnF6
1.0
6.1682 0.0000 0.0000
0.0000 8.8591 0.0000
0.0000 0.0000 6.5310
K V Sn F
4 2 2 12
direct
0.2500 0.0223 0.2158
0.2500 0.4777 0.2158
0.7500 0.5223 0.7842
0.7500 0.9777 0.7842
0.2500 0.7500 0.7825
0.7500 0.2500 0.2175
0.2500 0.2500 0.7216
0.7500 0.7500 0.2784
0.9996 0.2500 0.4366
0.0004 0.7500 0.5634
0.0080 0.7500 0.0173
0.2500 0.5112 0.7937
0.2500 0.9888 0.7937
0.4920 0.7500 0.0173
0.5004 0.2500 0.4366
0.4996 0.7500 0.5634
0.5080 0.2500 0.9827
0.7500 0.0112 0.2063
0.7500 0.4888 0.2063
0.9920 0.2500 0.9827
```

calculated total energy = -5.08 eV/atom
V = 356.9 Å³/cell
total magnetic moment = 6.000 μB/cell